No. 1
Entry from Alexandria: crystalline BeTl2Ag2 at its relaxed geometry (PBE).

Results
The calculation puts the formation energy from the elements at 0.350 eV/atom.

Cell: 6.3636 6.3636 5.4994 Å, 90.00 90.00 90.00°
Space group P4/mbm (No. 127)
Unique sites:
Be 0.0000 0.0000 0.0000 (multiplicity 2)
Tl 0.1778 0.3222 0.5000 (multiplicity 4)
Ag 0.1623 0.6623 0.0000 (multiplicity 4)


No. 2
Entry from Alexandria: crystalline ZrCoSnRu at its relaxed geometry (PBE).

Results
The calculation puts the formation energy from the elements at -0.416 eV/atom.

Cell: 6.4069 6.4069 6.4069 Å, 90.00 90.00 90.00°
Space group F-43m (No. 216)
Unique sites:
Zr 0.0000 0.0000 0.0000 (multiplicity 4)
Co 0.2500 0.2500 0.2500 (multiplicity 4)
Sn 0.0000 0.0000 0.5000 (multiplicity 4)
Ru 0.2500 0.2500 0.7500 (multiplicity 4)


No. 3
Entry from Alexandria: crystalline AcAlZn4Ag2 at its relaxed geometry (PBE).

Results
The calculation puts the formation energy from the elements at -0.115 eV/atom.

Cell: 4.4418 4.4418 28.4189 Å, 90.00 90.00 120.00°
Space group R-3m (No. 166, hexagonal axes)
Unique sites:
Ac 0.0000 0.0000 0.0000 (multiplicity 3)
Al 0.0000 0.0000 0.5000 (multiplicity 3)
Zn 0.0000 0.0000 0.1266 (multiplicity 6)
Zn 0.0000 0.0000 0.4040 (multiplicity 6)
Ag 0.0000 0.0000 0.2358 (multiplicity 6)


No. 4
Entry from Alexandria: crystalline CuAgSbPd at its relaxed geometry (PBE).

Results
Its uncorrected formation energy is -0.093 eV/atom.

Cell: 6.5103 6.5103 6.5103 Å, 90.00 90.00 90.00°
Space group F-43m (No. 216)
Unique sites:
Cu 0.0000 0.0000 0.0000 (multiplicity 4)
Ag 0.2500 0.2500 0.7500 (multiplicity 4)
Sb 0.2500 0.2500 0.2500 (multiplicity 4)
Pd 0.0000 0.0000 0.5000 (multiplicity 4)


No. 5
Entry from Alexandria: crystalline PmNd4TmSe8 at its relaxed geometry (PBE).

Results
Its uncorrected formation energy is -1.722 eV/atom.

Cell: 8.6361 8.6361 21.1314 Å, 90.00 90.00 120.00°
Space group R3m (No. 160, hexagonal axes)
Unique sites:
Pm 0.0000 0.0000 0.0000 (multiplicity 3)
Nd 0.0000 0.0000 0.3774 (multiplicity 3)
Nd 0.0056 0.5028 0.5028 (multiplicity 9)
Tm 0.0000 0.0000 0.6270 (multiplicity 3)
Se 0.0000 0.0000 0.2439 (multiplicity 3)
Se 0.0000 0.0000 0.7545 (multiplicity 3)
Se 0.0237 0.5118 0.7543 (multiplicity 9)
Se 0.1707 0.3414 0.5852 (multiplicity 9)


No. 6
Entry from Alexandria: crystalline LiCo3Mo at its relaxed geometry (PBE).

Results
The energy relative to the lowest polymorph listed for this composition is 0 meV/atom. The calculation puts the formation energy from the elements at 0.833 eV/atom.

Cell: 3.8350 3.8350 3.8350 Å, 90.00 90.00 90.00°
Space group Pm-3m (No. 221)
Unique sites:
Li 0.0000 0.0000 0.0000 (multiplicity 1)
Co 0.0000 0.0000 0.5000 (multiplicity 3)
Mo 0.5000 0.5000 0.5000 (multiplicity 1)


No. 7
Entry from Alexandria: crystalline Ac2TbScSe6 at its relaxed geometry (PBE).

Results
Its uncorrected formation energy is -1.936 eV/atom.

Cell: 7.0839 7.7998 12.5390 Å, 90.00 123.80 90.00°
Space group P2_1/c (No. 14)
Unique sites:
Ac 0.2125 0.0970 0.2483 (multiplicity 4)
Tb 0.5000 0.0000 0.0000 (multiplicity 2)
Sc 0.0000 0.0000 0.5000 (multiplicity 2)
Se 0.1125 0.1937 0.9401 (multiplicity 4)
Se 0.2556 0.6824 0.9413 (multiplicity 4)
Se 0.3632 0.0313 0.7423 (multiplicity 4)


No. 8
Entry from Alexandria: crystalline BaCrRu2Se at its relaxed geometry (PBE).

Results
Its uncorrected formation energy is 2.760 eV/atom.

Cell: 4.9954 4.9954 4.8082 Å, 90.00 90.00 90.00°
Space group P4/mmm (No. 123)
Unique sites:
Ba 0.0000 0.0000 0.0000 (multiplicity 1)
Cr 0.0000 0.0000 0.5000 (multiplicity 1)
Ru 0.0000 0.5000 0.0000 (multiplicity 2)
Se 0.5000 0.5000 0.5000 (multiplicity 1)